P:
VASP calculation (PBE) on a relaxed structure of Tl3HgRh.

* space-group type: No. 15
* size of the total moment: 0.00 μB per formula unit
* V: 536 Å³/cell

Cell lengths 14.0761, 8.9655, 8.9655 Å; angles 109.19, 134.83, 45.17 degrees
Element x y z (fractional)
Hg1 0.2500 0.9153 0.4153
Hg2 0.2500 0.4097 0.9097
Hg3 0.7500 0.5903 0.0903
Hg4 0.7500 0.0847 0.5847
Tl1 0.9973 0.2628 0.6004
Tl2 0.8238 0.1442 0.0222
Tl3 0.6762 0.5222 0.6442
Tl4 0.5027 0.1004 0.7628
Tl5 0.1762 0.8558 0.9778
Tl6 0.3714 0.6663 0.7769
Tl7 0.3238 0.4778 0.3558
Tl8 0.8714 0.7231 0.8337
Tl9 0.4973 0.8996 0.2372
Tl10 0.0027 0.7372 0.3996
Tl11 0.6286 0.3337 0.2231
Tl12 0.1286 0.2769 0.1663
Rh1 0.3734 0.9866 0.8289
Rh2 0.1266 0.3289 0.4866
Rh3 0.8734 0.6711 0.5134
Rh4 0.6266 0.0134 0.1711



Q:
VASP calculation (PBE) on a relaxed structure of Tl3HgRh.

* space-group type: No. 194
* size of the total moment: 0.00 μB per formula unit
* V: 318 Å³/cell

Cell lengths 4.6014, 4.6014, 17.3584 Å; angles 90.00, 90.00, 120.00 degrees
Element x y z (fractional)
Tl1 0.3333 0.6667 0.9048
Tl2 0.6667 0.3333 0.4048
Tl3 0.3333 0.6667 0.5952
Tl4 0.0000 0.0000 0.7500
Tl5 0.0000 0.0000 0.2500
Tl6 0.6667 0.3333 0.0952
Rh1 0.6667 0.3333 0.2500
Rh2 0.3333 0.6667 0.7500
Hg1 0.0000 0.0000 0.5000
Hg2 0.0000 0.0000 0.0000



Consider the structures shown above. The most stable of them is P.